Rh2SO, optimized geometry, DFT GGA-PBE; E_form (uncorrected) = -0.14 eV/atom; magnetization = 0.000 μB per cell; SG = No. 122; E above lowest polymorph = 0 meV per atom
1.0
-2.526 2.526 4.935
2.526 -2.526 4.935
2.526 2.526 -4.935
Rh S O
4 2 2
direct
0.110 0.625 0.985 Rh
0.375 0.360 0.485 Rh
0.640 0.125 0.015 Rh
0.875 0.890 0.515 Rh
0.250 0.750 0.500 S
0.500 0.500 0.000 S
0.000 0.000 0.000 O
0.750 0.250 0.500 O



RhS2O, optimized geometry, DFT GGA-PBE; E_form (uncorrected) = 0.23 eV/atom; magnetization = 0.000 μB per cell; SG = No. 122
1.0
-2.563 2.563 5.197
2.563 -2.563 5.197
2.563 2.563 -5.197
Rh S O
2 4 2
direct
0.000 0.000 0.000 Rh
0.750 0.250 0.500 Rh
0.129 0.625 0.004 S
0.375 0.379 0.504 S
0.621 0.125 0.996 S
0.875 0.871 0.496 S
0.250 0.750 0.500 O
0.500 0.500 0.000 O



RhSO4, optimized geometry, DFT GGA-PBE; E_form (uncorrected) = -0.74 eV/atom; magnetization = 8.863 μB per cell; SG = No. 152
1.0
5.111 0.000 0.000
-2.556 4.426 0.000
0.000 0.000 12.263
Rh S O
3 3 12
direct
0.000 0.494 0.167 Rh
0.494 0.000 0.833 Rh
0.506 0.506 0.500 Rh
0.000 0.490 0.667 S
0.490 0.000 0.333 S
0.510 0.510 0.000 S
0.051 0.680 0.765 O
0.184 0.728 0.315 O
0.272 0.456 0.648 O
0.320 0.371 0.099 O
0.371 0.320 0.901 O
0.456 0.272 0.352 O
0.544 0.816 0.981 O
0.629 0.949 0.432 O
0.680 0.051 0.235 O
0.728 0.184 0.685 O
0.816 0.544 0.019 O
0.949 0.629 0.568 O



RhSO3, optimized geometry, DFT GGA-PBE; E_form (uncorrected) = 0.45 eV/atom; magnetization = 2.869 μB per cell; SG = No. 221
1.0
3.724 0.000 0.000
0.000 3.724 0.000
0.000 0.000 3.724
Rh S O
1 1 3
direct
0.000 0.000 0.000 Rh
0.500 0.500 0.500 S
0.000 0.500 0.500 O
0.500 0.000 0.500 O
0.500 0.500 0.000 O



| no. | final energy (Ry per atom) |
| --- | --- |
| 1 | -0.44765 |
| 2 | -0.36110 |
| 3 | -0.43828 |
| 4 | -0.35411 |